1.
A plane-wave DFT calculation with PBE was carried out for crystalline Li2TeRu at its relaxed geometry.

Structure (POSCAR):
```
Li2TeRu
1.0
4.4926 -1.7015 0.0000
4.4926 1.7015 0.0000
-1.5514 0.0000 4.3225
Li Te Ru
2 1 1
Cartesian
0.0000 0.0000 0.0000 Li
6.4526 0.0000 0.7216 Li
1.1512 0.0000 2.7762 Te
3.7706 0.0000 2.2448 Ru
```

Output
Calculated volume: 66.08 Å³/f.u.
Magnetic moment: 0.00 μB per cell
Crystal system: monoclinic
SG: Cm, No. 8
E_tot: -4.253 eV/atom
Theoretical density: 6.09 Mg/m³

2.
A plane-wave DFT calculation with PBE was carried out for crystalline LiTeRu at its relaxed geometry.

Structure (POSCAR):
```
LiTeRu
1.0
-1.7128 1.7128 4.1288
1.7128 -1.7128 4.1288
1.7128 1.7128 -4.1288
Li Te Ru
1 1 1
Cartesian
0.0000 0.0000 0.0000 Li
0.0000 0.0000 2.6861 Te
0.0000 0.0000 5.5424 Ru
```

Output
Calculated volume: 48.45 Å³/f.u.
Magnetic moment: 0.43 μB per cell
Crystal system: tetragonal
SG: I4mm, No. 107
E_tot: -4.929 eV/atom
Theoretical density: 8.08 Mg/m³

3.
A plane-wave DFT calculation with PBE was carried out for crystalline LiTe2Ru at its relaxed geometry.

Structure (POSCAR):
```
LiTe2Ru
1.0
-3.1589 3.1589 5.8095
3.1589 -3.1589 5.8095
3.1589 3.1589 -5.8095
Li Te Ru
2 4 2
Cartesian
0.0000 0.0000 0.0000 Li
0.0000 3.1589 2.9048 Li
1.5794 -1.3630 4.3572 Te
1.7958 1.5794 1.4524 Te
1.5794 4.5219 -1.4524 Te
1.3630 1.5794 7.2619 Te
3.1589 0.0000 2.9048 Ru
0.0000 0.0000 5.8095 Ru
```

Output
Calculated volume: 115.94 Å³/f.u.
Magnetic moment: 0.00 μB per cell
Crystal system: tetragonal
SG: I-42d, No. 122
E_tot: -4.514 eV/atom
Theoretical density: 5.20 Mg/m³

4.
A plane-wave DFT calculation with PBE was carried out for crystalline LiTeRu at its relaxed geometry.

Structure (POSCAR):
```
LiTeRu
1.0
3.2462 0.0000 0.0000
-1.6231 2.8113 0.0000
0.0000 0.0000 6.4526
Li Te Ru
1 1 1
Cartesian
0.0000 0.0000 0.0000 Li
0.0000 1.8742 3.8823 Te
1.6231 0.9371 2.0833 Ru
```

Output
Calculated volume: 58.89 Å³/f.u.
Magnetic moment: 0.00 μB per cell
Crystal system: trigonal
SG: P3m1, No. 156
E_tot: -4.618 eV/atom
Theoretical density: 6.64 Mg/m³

5.
A plane-wave DFT calculation with PBE was carried out for crystalline LiTeRu at its relaxed geometry.

Structure (POSCAR):
```
LiTeRu
1.0
4.2582 0.0000 0.0000
0.0000 4.2582 0.0000
0.0000 0.0000 6.2403
Li Te Ru
2 2 2
Cartesian
1.0645 1.0645 1.3039 Li
3.1936 3.1936 4.9364 Li
1.0645 1.0645 4.6676 Te
3.1936 3.1936 1.5727 Te
1.0645 3.1936 3.1202 Ru
3.1936 1.0645 3.1202 Ru
```

Output
Calculated volume: 56.57 Å³/f.u.
Magnetic moment: 0.00 μB per cell
Crystal system: tetragonal
SG: P4/nmm, No. 129
E_tot: -5.158 eV/atom
Theoretical density: 6.92 Mg/m³

6.
A plane-wave DFT calculation with PBE was carried out for crystalline Li2TlTeRu at its relaxed geometry.

Structure (POSCAR):
```
Li2TlTeRu
1.0
4.9840 0.0000 0.0000
0.0000 4.9840 0.0000
0.0000 0.0000 5.2198
Li Tl Te Ru
2 1 1 1
Cartesian
0.0000 2.4920 0.0000 Li
2.4920 0.0000 0.0000 Li
0.0000 0.0000 2.6099 Tl
2.4920 2.4920 2.6099 Te
0.0000 0.0000 0.0000 Ru
```

Output
Calculated volume: 129.66 Å³/f.u.
Magnetic moment: 2.07 μB per cell
Crystal system: tetragonal
SG: P4/mmm, No. 123
E_tot: -3.249 eV/atom
Theoretical density: 5.72 Mg/m³

7.
A plane-wave DFT calculation with PBE was carried out for crystalline LiTh2Ru at its relaxed geometry.

Structure (POSCAR):
```
LiTh2Ru
1.0
2.0105 1.1608 10.0826
-2.0105 1.1608 10.0826
0.0000 -2.3216 10.0826
Li Th Ru
1 2 1
Cartesian
0.0000 0.0000 0.0000 Li
0.0000 0.0000 3.5072 Th
0.0000 0.0000 26.7406 Th
0.0000 0.0000 15.1239 Ru
```

Output
Calculated volume: 141.18 Å³/f.u.
Energy relative to the elements: 0.03 eV per atom
Magnetic moment: 0.00 μB per cell
Crystal system: trigonal
SG: R-3m, No. 166
E_tot: -6.477 eV/atom
Theoretical density: 6.73 Mg/m³

8.
A plane-wave DFT calculation with PBE was carried out for crystalline LiThRu at its relaxed geometry.

Structure (POSCAR):
```
LiThRu
1.0
-1.8442 1.8442 4.5774
1.8442 -1.8442 4.5774
1.8442 1.8442 -4.5774
Li Th Ru
1 1 1
Cartesian
0.0000 0.0000 0.0000 Li
0.0000 0.0000 2.8062 Th
0.0000 0.0000 6.2624 Ru
```

Output
Calculated volume: 62.27 Å³/f.u.
Energy relative to the elements: -0.02 eV per atom
Magnetic moment: 0.00 μB per cell
Crystal system: tetragonal
SG: I4mm, No. 107
E_tot: -6.225 eV/atom
Theoretical density: 9.07 Mg/m³